# CeZrGa4 PBE-GGA relaxed
data_CeZrGa4
_symmetry_space_group_name_H-M 'P 1'
_symmetry_Int_Tables_number 1
_symmetry_space_group_name_Hall 'P 1'
_cell_length_a 5.4553
_cell_length_b 5.4553
_cell_length_c 5.4553
_cell_angle_alpha 60.00
_cell_angle_beta 60.00
_cell_angle_gamma 60.00
loop_
_atom_site_label
_atom_site_type_symbol
_atom_site_fract_x
_atom_site_fract_y
_atom_site_fract_z
Ga1 Ga 0.6252 0.6252 0.6252
Zr1 Zr 0.0000 0.0000 0.0000
Ce1 Ce 0.2500 0.2500 0.2500
Ga2 Ga 0.6252 0.6252 0.1244
Ga3 Ga 0.1244 0.6252 0.6252
Ga4 Ga 0.6252 0.1244 0.6252
# Polymorph energy (0 for the lowest one) = 58 meV per atom
# Space group = F-43m
# Crystal system = cubic
# Energy of formation from the pure elements = -434 meV/atom



# Sm2Pu2Ir3 PBE-GGA relaxed
data_Sm2Pu2Ir3
_symmetry_space_group_name_H-M 'P 1'
_symmetry_Int_Tables_number 1
_symmetry_space_group_name_Hall 'P 1'
_cell_length_a 4.7576
_cell_length_b 4.7574
_cell_length_c 8.7729
_cell_angle_alpha 105.72
_cell_angle_beta 90.00
_cell_angle_gamma 120.00
loop_
_atom_site_label
_atom_site_type_symbol
_atom_site_fract_x
_atom_site_fract_y
_atom_site_fract_z
Sm1 Sm 0.8744 0.7489 0.6237
Ir1 Ir 0.2512 0.5025 0.7544
Ir2 Ir 0.0000 0.0000 0.0000
Pu1 Pu 0.6248 0.2496 0.8746
Pu2 Pu 0.3752 0.7504 0.1254
Ir3 Ir 0.7488 0.4975 0.2456
Sm2 Sm 0.1256 0.2511 0.3763
# Space group = R-3m
# Crystal system = trigonal
# Energy of formation from the pure elements = -520 meV/atom



# Mg2PaTl2 PBE-GGA relaxed
data_Mg2PaTl2
_symmetry_space_group_name_H-M 'P 1'
_symmetry_Int_Tables_number 1
_symmetry_space_group_name_Hall 'P 1'
_cell_length_a 3.7372
_cell_length_b 3.7372
_cell_length_c 11.7251
_cell_angle_alpha 99.17
_cell_angle_beta 99.17
_cell_angle_gamma 90.00
loop_
_atom_site_label
_atom_site_type_symbol
_atom_site_fract_x
_atom_site_fract_y
_atom_site_fract_z
Mg1 Mg 0.2500 0.7500 0.5000
Tl1 Tl 0.8622 0.8622 0.7243
Pa1 Pa 0.0000 0.0000 0.0000
Tl2 Tl 0.1378 0.1378 0.2757
Mg2 Mg 0.7500 0.2500 0.5000
# Space group = I4/mmm
# Crystal system = tetragonal
# Energy of formation from the pure elements = 757 meV/atom



# CsKLiBi PBE-GGA relaxed
data_CsKLiBi
_symmetry_space_group_name_H-M 'P 1'
_symmetry_Int_Tables_number 1
_symmetry_space_group_name_Hall 'P 1'
_cell_length_a 5.9246
_cell_length_b 5.9246
_cell_length_c 5.9246
_cell_angle_alpha 60.00
_cell_angle_beta 60.00
_cell_angle_gamma 60.00
loop_
_atom_site_label
_atom_site_type_symbol
_atom_site_fract_x
_atom_site_fract_y
_atom_site_fract_z
Bi1 Bi 0.7500 0.7500 0.7500
Cs1 Cs 0.2500 0.2500 0.2500
Li1 Li 0.5000 0.5000 0.5000
K1 K 0.0000 0.0000 0.0000
# Polymorph energy (0 for the lowest one) = 66 meV per atom
# Space group = F-43m
# Crystal system = cubic
# Energy of formation from the pure elements = -298 meV/atom



# Ba8Pd3SBr4 PBE-GGA relaxed
data_Ba8Pd3SBr4
_symmetry_space_group_name_H-M 'P 1'
_symmetry_Int_Tables_number 1
_symmetry_space_group_name_Hall 'P 1'
_cell_length_a 9.2434
_cell_length_b 9.8386
_cell_length_c 9.2432
_cell_angle_alpha 118.02
_cell_angle_beta 120.00
_cell_angle_gamma 90.00
loop_
_atom_site_label
_atom_site_type_symbol
_atom_site_fract_x
_atom_site_fract_y
_atom_site_fract_z
Ba1 Ba 0.7619 0.2883 0.5238
S1 S 0.0000 0.5000 0.0000
Pd1 Pd 0.5000 0.5000 0.5000
Ba2 Ba 0.2596 0.2787 0.5191
Br1 Br 0.0000 0.0000 0.0000
Pd2 Pd 0.5000 0.5000 0.0000
Br2 Br 0.0000 0.0000 0.5000
Br3 Br 0.5000 0.0000 0.0000
Ba3 Ba 0.2381 0.7117 0.4762
Ba4 Ba 0.2645 0.2883 0.0264
Br4 Br 0.5000 0.0000 0.5000
Ba5 Ba 0.7619 0.2883 0.0264
Ba6 Ba 0.7404 0.7213 0.4809
Ba7 Ba 0.7355 0.7117 0.9736
Pd3 Pd 0.0000 0.5000 0.5000
Ba8 Ba 0.2381 0.7117 0.9736
# Space group = R-3m
# Crystal system = trigonal
# ΔE_f (raw) = -1992 kJ/mol of formula units



# Er4GaBiC PBE-GGA relaxed
data_Er4GaBiC
_symmetry_space_group_name_H-M 'P 1'
_symmetry_Int_Tables_number 1
_symmetry_space_group_name_Hall 'P 1'
_cell_length_a 6.7000
_cell_length_b 6.7058
_cell_length_c 8.4758
_cell_angle_alpha 90.00
_cell_angle_beta 113.28
_cell_angle_gamma 90.00
loop_
_atom_site_label
_atom_site_type_symbol
_atom_site_fract_x
_atom_site_fract_y
_atom_site_fract_z
Ga1 Ga 0.8833 0.7500 0.7667
Bi1 Bi 0.6048 0.7500 0.2097
Er1 Er 0.4040 0.7500 0.8080
Ga2 Ga 0.1167 0.2500 0.2333
Er2 Er 0.5960 0.2500 0.1920
Er3 Er 0.5000 0.5000 0.5000
Er4 Er 0.9162 0.2500 0.8324
Er5 Er 0.5000 0.0000 0.5000
Bi2 Bi 0.3952 0.2500 0.7903
Er6 Er 0.0000 0.5000 0.5000
C1 C 0.7516 0.2500 0.5032
Er7 Er 0.0838 0.7500 0.1676
Er8 Er 0.0000 0.0000 0.5000
C2 C 0.2484 0.7500 0.4968
# Space group = Cmcm
# Crystal system = orthorhombic
# Energy of formation from the pure elements = -573 meV/atom



# LaSmErTl PBE-GGA relaxed
data_LaSmErTl
_symmetry_space_group_name_H-M 'P 1'
_symmetry_Int_Tables_number 1
_symmetry_space_group_name_Hall 'P 1'
_cell_length_a 5.5961
_cell_length_b 5.5961
_cell_length_c 5.5961
_cell_angle_alpha 60.00
_cell_angle_beta 60.00
_cell_angle_gamma 60.00
loop_
_atom_site_label
_atom_site_type_symbol
_atom_site_fract_x
_atom_site_fract_y
_atom_site_fract_z
Sm1 Sm 0.7500 0.7500 0.7500
Tl1 Tl 0.5000 0.5000 0.5000
La1 La 0.2500 0.2500 0.2500
Er1 Er 0.0000 0.0000 0.0000
# Polymorph energy (0 for the lowest one) = 0 meV per atom
# Space group = F-43m
# Crystal system = cubic
# Energy of formation from the pure elements = -82 meV/atom



# PuCl3F4 PBE-GGA relaxed
data_PuCl3F4
_symmetry_space_group_name_H-M 'P 1'
_symmetry_Int_Tables_number 1
_symmetry_space_group_name_Hall 'P 1'
_cell_length_a 4.4918
_cell_length_b 9.8934
_cell_length_c 10.1673
_cell_angle_alpha 66.84
_cell_angle_beta 89.87
_cell_angle_gamma 89.25
loop_
_atom_site_label
_atom_site_type_symbol
_atom_site_fract_x
_atom_site_fract_y
_atom_site_fract_z
F1 F 0.9288 0.2455 0.8920
Cl1 Cl 0.9381 0.6832 0.3865
F2 F 0.4349 0.5446 0.8806
Cl2 Cl 0.8919 0.5287 0.5814
F3 F 0.9364 0.9552 0.1194
Cl3 Cl 0.4789 0.9714 0.4185
Cl4 Cl 0.4350 0.3640 0.3627
F4 F 0.4427 0.2544 0.1082
F5 F 0.9385 0.8322 0.9060
Cl5 Cl 0.9361 0.1362 0.6373
Pu1 Pu 0.9347 0.0369 0.9032
Pu2 Pu 0.4365 0.4631 0.0968
F6 F 0.4346 0.0391 0.9008
F7 F 0.4326 0.6678 0.0938
F8 F 0.9366 0.4609 0.0993
Cl6 Cl 0.4329 0.8168 0.6134
# Space group = P-1
# Crystal system = triclinic
# ΔE_f (raw) = -1607 kJ/mol of formula units



# Mg6Hg2Rh PBE-GGA relaxed
data_Mg6Hg2Rh
_symmetry_space_group_name_H-M 'P 1'
_symmetry_Int_Tables_number 1
_symmetry_space_group_name_Hall 'P 1'
_cell_length_a 3.3772
_cell_length_b 7.9065
_cell_length_c 7.9056
_cell_angle_alpha 120.00
_cell_angle_beta 90.00
_cell_angle_gamma 90.00
loop_
_atom_site_label
_atom_site_type_symbol
_atom_site_fract_x
_atom_site_fract_y
_atom_site_fract_z
Mg1 Mg 0.5000 0.3688 0.3688
Rh1 Rh 0.5000 0.0000 0.0000
Mg2 Mg 0.0000 0.2607 0.0000
Hg1 Hg 0.0000 0.6667 0.3333
Mg3 Mg 0.0000 0.0000 0.2608
Mg4 Mg 0.5000 0.6313 0.0000
Mg5 Mg 0.5000 0.0000 0.6312
Hg2 Hg 0.0000 0.3334 0.6667
Mg6 Mg 0.0000 0.7393 0.7392
# Polymorph energy (0 for the lowest one) = 0 meV per atom
# Space group = P-62m
# Crystal system = hexagonal
# Energy of formation from the pure elements = -292 meV/atom



# PmZrGa2Pd5 PBE-GGA relaxed
data_PmZrGa2Pd5
_symmetry_space_group_name_H-M 'P 1'
_symmetry_Int_Tables_number 1
_symmetry_space_group_name_Hall 'P 1'
_cell_length_a 4.1438
_cell_length_b 4.1438
_cell_length_c 9.3681
_cell_angle_alpha 90.00
_cell_angle_beta 90.00
_cell_angle_gamma 90.00
loop_
_atom_site_label
_atom_site_type_symbol
_atom_site_fract_x
_atom_site_fract_y
_atom_site_fract_z
Pm1 Pm 0.0000 0.0000 0.5000
Pd1 Pd 0.5000 0.0000 0.2707
Ga1 Ga 0.5000 0.5000 0.1265
Pd2 Pd 0.0000 0.5000 0.2707
Ga2 Ga 0.5000 0.5000 0.8735
Zr1 Zr 0.0000 0.0000 0.0000
Pd3 Pd 0.0000 0.5000 0.7293
Pd4 Pd 0.5000 0.5000 0.5000
Pd5 Pd 0.5000 0.0000 0.7293
# Space group = P4/mmm
# Crystal system = tetragonal
# Energy of formation from the pure elements = -640 meV/atom



# Pm4Ge8Os PBE-GGA relaxed
data_Pm4Ge8Os
_symmetry_space_group_name_H-M 'P 1'
_symmetry_Int_Tables_number 1
_symmetry_space_group_name_Hall 'P 1'
_cell_length_a 4.1007
_cell_length_b 4.2982
_cell_length_c 16.4114
_cell_angle_alpha 90.00
_cell_angle_beta 90.00
_cell_angle_gamma 90.00
loop_
_atom_site_label
_atom_site_type_symbol
_atom_site_fract_x
_atom_site_fract_y
_atom_site_fract_z
Pm1 Pm 0.0000 0.5000 0.6085
Pm2 Pm 0.5000 0.0000 0.8950
Pm3 Pm 0.0000 0.0000 0.0983
Ge1 Ge 0.0000 0.0000 0.7481
Ge2 Ge 0.5000 0.0000 0.5611
Ge3 Ge 0.0000 0.5000 0.2373
Pm4 Pm 0.5000 0.5000 0.4011
Os1 Os 0.0000 0.0000 0.3114
Ge4 Ge 0.5000 0.5000 0.7550
Ge5 Ge 0.0000 0.0000 0.4610
Ge6 Ge 0.5000 0.0000 0.2322
Ge7 Ge 0.5000 0.5000 0.0487
Ge8 Ge 0.0000 0.5000 0.9452
# Space group = Pmm2
# Crystal system = orthorhombic
# Energy of formation from the pure elements = -549 meV/atom



# Co2MoAu PBE-GGA relaxed
data_Co2MoAu
_symmetry_space_group_name_H-M 'P 1'
_symmetry_Int_Tables_number 1
_symmetry_space_group_name_Hall 'P 1'
_cell_length_a 2.7019
_cell_length_b 3.3243
_cell_length_c 6.2048
_cell_angle_alpha 90.00
_cell_angle_beta 90.00
_cell_angle_gamma 90.00
loop_
_atom_site_label
_atom_site_type_symbol
_atom_site_fract_x
_atom_site_fract_y
_atom_site_fract_z
Co1 Co 0.0000 0.0000 0.0484
Mo1 Mo 0.0000 0.0000 0.4557
Au1 Au 0.5000 0.5000 0.7759
Co2 Co 0.5000 0.5000 0.2200
# Space group = Pmm2
# Crystal system = orthorhombic
# Energy of formation from the pure elements = 208 meV/atom



no.,Fermi-level density of states (states/eV per atom),total moment (μB per atom)
1,1.187,0.110
2,2.200,1.443
3,1.669,0.455
4,0.001,0.000
5,0.775,0.000
6,0.166,0.000
7,1.444,0.275
8,1.081,0.366
9,0.442,0.000
10,0.711,0.000
11,0.676,0.000
12,0.826,0.569